[1]
Density functional theory data (PBE) for crystalline BaNaFeRe at its relaxed geometry.

Computed properties:
As for the space group: F-43m, No. 216. The value obtained for the total DFT energy (no corrections) is -4.37 eV per atom. The energy above the lowest structure with this stoichiometry comes out at 334 meV per atom.

```
BaNaFeRe
1.0
7.373 0.000 0.000
0.000 7.373 0.000
0.000 0.000 7.373
Ba Na Fe Re
4 4 4 4
Direct
0.000 0.000 0.000
0.000 0.500 0.500
0.500 0.000 0.500
0.500 0.500 0.000
0.000 0.000 0.500
0.000 0.500 0.000
0.500 0.000 0.000
0.500 0.500 0.500
0.250 0.250 0.250
0.250 0.750 0.750
0.750 0.250 0.750
0.750 0.750 0.250
0.250 0.250 0.750
0.250 0.750 0.250
0.750 0.250 0.250
0.750 0.750 0.750
```



[2]
Density functional theory data (PBE) for crystalline ScMo5 at its relaxed geometry.

Computed properties:
As for the space group: P-62m, No. 189. The value obtained for the total DFT energy (no corrections) is -9.66 eV per atom. The calculated formation energy comes out at 0.430 eV/atom.

```
ScMo5
1.0
4.809 0.000 0.000
-2.405 4.165 0.000
0.000 0.000 4.992
Sc Mo
1 5
Direct
0.000 0.000 0.000
0.000 0.665 0.500
0.333 0.667 0.000
0.335 0.335 0.500
0.665 0.000 0.500
0.667 0.333 0.000
```



[3]
Density functional theory data (PBE) for crystalline OsPdO3 at its relaxed geometry.

Computed properties:
As for the space group: R-3c, No. 167. The value obtained for the total DFT energy (no corrections) is -6.62 eV per atom.

```
OsPdO3
1.0
2.642 1.525 4.558
-2.642 1.525 4.558
0.000 -3.050 4.558
Os Pd O
2 2 6
Direct
0.000 0.000 0.000
0.500 0.500 0.500
0.250 0.250 0.250
0.750 0.750 0.750
0.151 0.750 0.349
0.250 0.651 0.849
0.349 0.151 0.750
0.651 0.849 0.250
0.750 0.349 0.151
0.849 0.250 0.651
```